VASP calculation (PBE-GGA) on a relaxed structure of Mg6AgPd12.

For the calculated formation energy, the calculation gives -0.43 eV/atom. The raw total energy comes out at -82.8 eV per formula unit. The total magnetic moment comes out at 0.00 μB per formula unit.

The space group is R-3 (No. 148, hexagonal axes) and the conventional cell measures 11.7527, 11.7527 and 8.1364 Å, with angles of 90.00, 90.00 and 120.00 degrees. The inequivalent atoms are Mg at (0.0458, 0.8377, 0.2506), Ag at (0.0000, 0.0000, 0.5000), Pd at (0.0467, 0.8013, 0.5777) and Pd at (0.0643, 0.8268, 0.9238).